Entry from Alexandria via LeMat-Bulk: ScSn2Pb2 after structural relaxation (PBE).

Lattice parameters (Å, degrees): 7.972 7.972 4.536 90.00 90.00 90.00
Space group P4/mbm (No. 127)
Symmetry-distinct sites (fractional):
Sc1 0.000 0.000 0.000
Sn1 0.151 0.349 0.500
Pb1 0.149 0.649 0.000

Computed properties:
Spin magnetization in μB/f.u.: 0.00
Energy of formation in eV/f.u.: 0.284

---

Entry from Alexandria via LeMat-Bulk: ScSnPb2 after structural relaxation (PBE).

Lattice parameters (Å, degrees): 8.530 8.530 6.279 90.00 90.00 90.00
Space group I-42d (No. 122)
Symmetry-distinct sites (fractional):
Sc1 0.000 0.000 0.000
Sn1 0.000 0.000 0.500
Pb1 0.246 0.750 0.125

Computed properties:
Spin magnetization in μB/f.u.: 0.00
Energy of formation in eV/f.u.: 0.073